10
Lattice="4.3451 0.0000 0.0000 0.0000 4.3451 0.0000 0.0000 0.0000 10.4011" Properties=species:S:1:pos:R:3 comment="Pr2GeAs3Pd4 | Alexandria | PBE | optimized geometry" final_energy_ev_per_cell=-57.65 sg=P-4m2 total_magnetization_mub_per_fu=0.000 delta_e_f_ev_per_atom=-0.876 pbc="T T T"
Pr 2.1725 0.0000 2.5609
Pr 0.0000 2.1725 7.8402
Ge 2.1725 2.1725 5.2005
As 0.0000 0.0000 5.2005
As 2.1725 0.0000 9.0000
As 0.0000 2.1725 1.4010
Pd 2.1725 2.1725 0.0000
Pd 0.0000 0.0000 0.0000
Pd 2.1725 0.0000 6.5331
Pd 0.0000 2.1725 3.8680